Entry 1:
Below is crystalline TcMoBr2 at its relaxed geometry, with properties calculated at the PBE level.

Summary:
* uncorrected energy: -5.092 eV per atom

Cell: 3.0162 5.7457 8.9520 Å, 90.00 90.00 90.00°
Atoms (fractional coordinates):
Tc  0.0000  0.0000  0.0000
Tc  0.5000  0.5000  0.0000
Mo  0.0000  0.0000  0.5000
Mo  0.5000  0.5000  0.5000
Br  0.0000  0.5000  0.2571
Br  0.0000  0.5000  0.7429
Br  0.5000  0.0000  0.2571
Br  0.5000  0.0000  0.7429

Entry 2:
Below is crystalline TcMo2Br at its relaxed geometry, with properties calculated at the PBE level.

Summary:
* uncorrected energy: -7.799 eV per atom

Cell: 3.0859 3.8307 6.3325 Å, 90.00 95.04 90.00°
Atoms (fractional coordinates):
Tc  0.0000  0.0000  0.0000
Mo  0.4728  0.5000  0.8174
Mo  0.5272  0.5000  0.1826
Br  0.0000  0.0000  0.5000

Entry 3:
Below is crystalline TcMo2Br at its relaxed geometry, with properties calculated at the PBE level.

Summary:
* uncorrected energy: -7.640 eV per atom

Cell: 3.0352 4.5385 4.6287 Å, 90.00 90.00 90.00°
Atoms (fractional coordinates):
Tc  0.0000  0.0000  0.0000
Mo  0.0000  0.5000  0.5000
Mo  0.5000  0.0000  0.5000
Br  0.5000  0.5000  0.0000

Entry 4:
Below is crystalline Tc2MoBr at its relaxed geometry, with properties calculated at the PBE level.

Summary:
* uncorrected energy: -7.631 eV per atom

Cell: 9.8286 2.9864 4.4713 Å, 90.00 92.83 90.00°
Atoms (fractional coordinates):
Tc  0.2184  0.0000  0.2166
Tc  0.2816  0.5000  0.7834
Tc  0.7184  0.5000  0.2166
Tc  0.7816  0.0000  0.7834
Mo  0.0000  0.5000  0.0000
Mo  0.5000  0.0000  0.0000
Br  0.0000  0.0000  0.5000
Br  0.5000  0.5000  0.5000

| no. | offset from the most stable computed form (eV per atom) | formation energy from raw total energies (eV per atom) |
| --- | --- | --- |
| 1 | 1.082 | 1.044 |
| 2 | 0.218 | 0.626 |
| 3 | 0.377 | 0.785 |
| 4 | 0.207 | 0.678 |